The following is a DFT calculation (PBEsol) of an optimized crystal structure of HfCoSe3.

Its raw formation energy is 0.288 eV/atom. Its total magnetic moment is 2.70 Bohr magnetons per cell.

Geometry as CIF:
```
data_HfCoSe3
_symmetry_space_group_name_H-M 'P m -3 m'
_symmetry_Int_Tables_number 221
_symmetry_space_group_name_Hall '-P 4 2 3'
_cell_length_a 5.0679
_cell_length_b 5.0679
_cell_length_c 5.0679
_cell_angle_alpha 90.00
_cell_angle_beta 90.00
_cell_angle_gamma 90.00
loop_
_atom_site_label
_atom_site_type_symbol
_atom_site_fract_x
_atom_site_fract_y
_atom_site_fract_z
Hf1 Hf 0.0000 0.0000 0.0000
Co1 Co 0.5000 0.5000 0.5000
Se1 Se 0.0000 0.0000 0.5000
```